1.
Density functional theory data (PBE with a Hubbard U) for a geometry-optimized EuZrCrBiO6 structure.

a = 5.7215 Å, b = 5.7215 Å, c = 5.7215 Å
α = 60.00°, β = 60.00°, γ = 60.00°
With the nearest neighbours (Å) after each atom.
Element x y z (fractional)
Zr  0.5000  0.5000  0.5000  6 O 2.08
Eu  0.7500  0.7500  0.7500  12 O 2.86
O  0.7566  0.2434  0.7566  1 Cr 1.97, 1 Zr 2.08
Bi  0.2500  0.2500  0.2500  12 O 2.86
O  0.2434  0.7566  0.2434  1 Cr 1.97, 1 Zr 2.08
O  0.7566  0.2434  0.2434  1 Cr 1.97, 1 Zr 2.08
O  0.2434  0.7566  0.7566  1 Cr 1.97, 1 Zr 2.08
O  0.7566  0.7566  0.2434  1 Cr 1.97, 1 Zr 2.08
O  0.2434  0.2434  0.7566  1 Cr 1.97, 1 Zr 2.08
Cr  0.0000  0.0000  0.0000  6 O 1.97

Space group: No. 216
VASP energy: -8.2562 eV per atom
Total magnetization: 0.97 μB per atom


2.
Density functional theory data (PBE with a Hubbard U) for a geometry-optimized Cr2BiF8 structure.

a = 4.3656 Å, b = 6.2497 Å, c = 7.3567 Å
α = 126.06°, β = 90.00°, γ = 91.56°
With the nearest neighbours (Å) after each atom.
Element x y z (fractional)
Cr  0.7413  0.7664  0.3832  4 F 1.96-2.04
F  0.7459  0.7858  0.6605  1 Cr 1.97
F  0.2446  0.8297  0.4149  3 Cr 2.04-2.21
F  0.2653  0.6209  0.8104  1 Cr 1.96
F  0.7459  0.7856  0.1251  1 Cr 1.97
Cr  0.2587  0.2336  0.6168  4 F 1.96-2.04
F  0.7347  0.3791  0.1896  1 Cr 1.96
F  0.2541  0.2145  0.8749  1 Cr 1.97
F  0.7554  0.1703  0.5850  3 Cr 2.04-2.21
F  0.2541  0.2142  0.3395  1 Cr 1.97
Bi  0.0000  0.0000  0.0000  6 F 2.27-2.29

Space group: No. 12
VASP energy: -5.5864 eV per atom
Total magnetization: 0.64 μB per atom